Crystalline TbDyAs2Ir2O2 at its relaxed geometry, computed with PBE. Values from VASP.

Electronic total energy ... -7.605 eV/atom
Symmetry ... P4mm (99)
Size of the total moment ... 0.00 Bohr magnetons per cell

Quantum ESPRESSO input file:
```
&SYSTEM
  ibrav = 0, nat = 8, ntyp = 5
/
ATOMIC_SPECIES
Tb 158.93 Tb.upf
Dy 162.50 Dy.upf
As 74.92 As.upf
Ir 192.22 Ir.upf
O 16.00 O.upf
CELL_PARAMETERS angstrom
4.029 0.000 0.000
0.000 4.029 0.000
0.000 0.000 8.077
ATOMIC_POSITIONS crystal
Tb 0.000 0.000 0.000
Dy 0.500 0.500 0.737
As 0.000 0.000 0.546
As 0.500 0.500 0.191
Ir 0.000 0.500 0.368
Ir 0.500 0.000 0.368
O 0.000 0.500 0.867
O 0.500 0.000 0.867
```